[1]
Cr2RhBr after structural relaxation, computed with PBE.

extended XYZ file:
```
4
Lattice="3.127 0.000 0.000 0.000 4.485 0.000 0.000 0.000 4.508" Properties=species:S:1:pos:R:3 pbc="T T T"
Br 0.000 2.243 2.254
Rh 1.564 0.000 2.254
Cr 0.000 0.000 0.000
Cr 1.564 2.243 0.000
```

Summary:
As for the volume: 63.23 Å³/f.u. The uncorrected formation energy is 0.56 eV per atom. Its energy is -6.51 eV per atom. As for the energy above the most stable polymorph in this dataset: 0.2275 eV/atom. The symmetry is Pmmm.

***

[2]
CdTe2Rh after structural relaxation, computed with PBE.

extended XYZ file:
```
4
Lattice="2.347 0.000 8.345 -1.174 2.033 8.345 -1.174 -2.033 8.345" Properties=species:S:1:pos:R:3 pbc="T T T"
Cd 0.000 0.000 0.000
Te 0.000 0.000 22.162
Te 0.000 0.000 2.873
Rh 0.000 0.000 12.517
```

Summary:
As for the volume: 119.47 Å³/f.u. The uncorrected formation energy is -0.20 eV per atom. Its energy is -3.84 eV per atom. The symmetry is R-3m.

***

[3]
EuZnAu2 after structural relaxation, computed with PBE.

extended XYZ file:
```
4
Lattice="-1.917 -3.790 2.600 2.729 -4.082 0.830 1.685 -0.979 4.583" Properties=species:S:1:pos:R:3 pbc="T T T"
Zn 1.873 -6.639 6.010
Eu 0.624 -2.213 2.003
Au 1.248 -4.426 4.007
Au 0.000 0.000 0.000
```

Summary:
As for the volume: 87.33 Å³/f.u. Its energy is -5.02 eV per atom. The symmetry is Fm-3m. The energy of formation is -0.493 eV/atom.

***

[4]
BaBeAs2 after structural relaxation, computed with PBE.

extended XYZ file:
```
4
Lattice="6.242 -0.044 -0.028 4.741 4.060 -0.028 4.741 1.734 3.672" Properties=species:S:1:pos:R:3 pbc="T T T"
As 7.086 2.591 1.630
As 0.776 0.284 0.178
Be 11.794 4.313 2.712
Ba 3.931 1.438 0.904
```

Summary:
As for the volume: 94.43 Å³/f.u. Its energy is -4.00 eV per atom. The symmetry is R-3m. The energy of formation is -0.262 eV/atom.

***

[5]
TePb2 after structural relaxation, computed with PBE.

extended XYZ file:
```
3
Lattice="5.425 0.000 0.000 2.713 4.698 0.000 2.713 1.566 4.430" Properties=species:S:1:pos:R:3 pbc="T T T"
Te 0.000 0.000 0.000
Pb 8.138 4.698 3.322
Pb 2.713 1.566 1.107
```

Summary:
As for the volume: 112.90 Å³/f.u. The uncorrected formation energy is 0.11 eV per atom. Its energy is -3.41 eV per atom. As for the energy above the most stable polymorph in this dataset: 0.2500 eV/atom. The symmetry is Fm-3m.

***

[6]
Nd2Sn4Ir3Pd after structural relaxation, computed with PBE.

extended XYZ file:
```
10
Lattice="4.509 0.000 0.000 0.000 4.509 0.000 0.000 0.000 10.894" Properties=species:S:1:pos:R:3 pbc="T T T"
Sn 2.255 0.000 6.874
Sn 0.000 2.255 4.020
Sn 2.255 2.255 0.000
Sn 0.000 0.000 0.000
Ir 2.255 0.000 9.458
Ir 0.000 0.000 5.447
Ir 0.000 2.255 1.436
Pd 2.255 2.255 5.447
Nd 2.255 0.000 2.680
Nd 0.000 2.255 8.214
```

Summary:
As for the volume: 221.53 Å³/f.u. Its energy is -6.33 eV per atom. The symmetry is P-4m2. The energy of formation is -0.602 eV/atom.

***

[7]
ZnP2IrO after structural relaxation, computed with PBE.

extended XYZ file:
```
5
Lattice="4.730 0.000 0.000 0.000 4.730 0.000 0.000 0.000 3.433" Properties=species:S:1:pos:R:3 pbc="T T T"
Ir 2.365 2.365 1.716
O 0.000 0.000 1.716
P 0.000 2.365 0.000
P 2.365 0.000 0.000
Zn 0.000 0.000 0.000
```

Summary:
As for the volume: 76.79 Å³/f.u. The uncorrected formation energy is 0.85 eV per atom. Its energy is -4.33 eV per atom. As for the energy above the most stable polymorph in this dataset: 0.5317 eV/atom. The symmetry is P4/mmm.

***

[8]
SrIr3Se after structural relaxation, computed with PBE.

extended XYZ file:
```
5
Lattice="4.710 0.000 0.000 0.000 4.710 0.000 0.000 0.000 4.710" Properties=species:S:1:pos:R:3 pbc="T T T"
Se 0.000 0.000 0.000
Ir 0.000 0.000 2.355
Ir 0.000 2.355 0.000
Ir 2.355 0.000 0.000
Sr 2.355 2.355 2.355
```

Summary:
As for the volume: 104.47 Å³/f.u. The uncorrected formation energy is 0.53 eV per atom. Its energy is -5.82 eV per atom. As for the energy above the most stable polymorph in this dataset: 0.0000 eV/atom. The symmetry is Pm-3m.

***

[9]
Zr2ReMo2 after structural relaxation, computed with PBE.

extended XYZ file:
```
10
Lattice="6.538 0.000 0.000 0.000 6.538 0.000 0.000 0.000 4.540" Properties=species:S:1:pos:R:3 pbc="T T T"
Zr 5.387 2.118 2.270
Zr 4.420 5.387 2.270
Zr 1.151 4.420 2.270
Zr 2.118 1.151 2.270
Re 0.000 0.000 0.000
Re 3.269 3.269 0.000
Mo 0.914 2.355 0.000
Mo 5.624 4.183 0.000
Mo 4.183 0.914 0.000
Mo 2.355 5.624 0.000
```

Summary:
As for the volume: 97.02 Å³/f.u. Its energy is -10.08 eV per atom. The symmetry is P4/mbm. The energy of formation is 0.166 eV/atom.

***

[10]
LaThIrRu after structural relaxation, computed with PBE.

extended XYZ file:
```
4
Lattice="-3.611 1.321 -3.279 -0.067 -2.017 -4.632 -3.602 -3.311 -1.261" Properties=species:S:1:pos:R:3 pbc="T T T"
Ru 0.000 0.000 0.000
Th -1.820 -1.002 -2.293
Ir -3.640 -2.004 -4.586
La -5.460 -3.005 -6.879
```

Summary:
As for the volume: 91.23 Å³/f.u. Its energy is -8.06 eV per atom. The symmetry is F-43m. The energy of formation is -0.444 eV/atom.

***

[11]
AlTlRu2 after structural relaxation, computed with PBE.

extended XYZ file:
```
4
Lattice="-0.870 -3.333 -1.894 -1.047 -1.156 2.515 -5.763 1.283 0.388" Properties=species:S:1:pos:R:3 pbc="T T T"
Tl -2.137 -1.635 -0.221
Ru -3.717 0.002 1.703
Ru -6.498 0.189 2.651
Al -5.543 -1.571 1.230
```

Summary:
As for the volume: 65.31 Å³/f.u. Its energy is -6.03 eV per atom. As for the energy above the most stable polymorph in this dataset: 0.0949 eV/atom. The symmetry is P2/m. The energy of formation is 0.137 eV/atom.

***

[12]
Na5Pb3Cl12 after structural relaxation, computed with PBE.

extended XYZ file:
```
80
Lattice="14.337 0.000 0.000 -4.779 13.517 0.000 -4.779 -6.759 11.706" Properties=species:S:1:pos:R:3 pbc="T T T"
Cl 1.379 0.984 6.919
Cl -2.985 7.620 9.099
Cl 4.726 2.167 6.836
Cl 2.442 -2.167 6.836
Cl 6.573 7.449 6.411
Cl 5.247 1.799 10.723
Cl 6.158 10.412 3.246
Cl 7.221 12.060 0.558
Cl -0.468 4.960 0.983
Cl 1.922 1.751 10.640
Cl -2.442 -5.301 11.148
Cl 5.374 5.898 9.099
Cl 0.053 4.591 4.870
Cl -0.468 8.509 1.066
Cl -1.794 -0.691 5.295
Cl 6.701 6.807 2.049
Cl 10.026 6.710 2.049
Cl -1.010 7.743 4.787
Cl 9.611 -3.134 7.394
Cl 4.184 -1.552 3.804
Cl 2.985 1.552 3.804
Cl -4.832 9.893 4.312
Cl -3.769 11.396 1.541
Cl -1.379 4.637 10.165
Cl 7.221 3.625 4.312
Cl -1.379 -3.653 8.461
Cl 6.158 2.121 1.541
Cl 3.400 5.775 4.787
Cl -1.922 -0.048 9.657
Cl -2.442 3.134 7.394
Cl 2.337 8.926 4.870
Cl -0.595 0.861 2.608
Cl 7.764 -0.861 2.608
Cl 9.505 1.457 0.558
Cl 1.922 -1.799 10.723
Cl 8.963 0.691 5.295
Cl 2.857 8.557 0.983
Cl 5.789 -0.984 6.919
Cl 8.548 -4.637 10.165
Cl 5.247 -1.751 10.640
Cl -5.789 3.653 8.461
Cl -4.184 6.068 6.411
Cl 1.794 5.207 7.902
Cl -4.726 5.301 11.148
Cl 10.568 3.105 3.246
Cl -5.247 0.048 9.657
Cl 2.857 5.008 1.066
Cl 0.595 8.310 7.902
Pb -3.584 2.534 10.243
Pb 5.974 0.845 4.390
Pb 3.584 0.000 8.780
Pb 1.195 -0.845 4.390
Pb 3.584 7.603 7.316
Pb -3.584 -2.534 10.243
Pb -1.195 5.914 7.316
Pb 10.753 0.000 2.927
Pb -5.974 6.759 8.780
Pb 8.363 9.293 1.463
Pb 1.195 6.759 2.927
Pb 8.363 4.224 1.463
Na 4.779 6.759 0.000
Na -2.390 -3.379 5.853
Na 3.584 10.138 2.927
Na -2.390 6.759 0.000
Na 1.195 4.224 10.243
Na -1.195 0.845 7.316
Na -4.779 3.379 5.853
Na 1.195 -3.379 8.780
Na 0.000 0.000 0.000
Na 7.169 0.000 0.000
Na 5.974 -4.224 10.243
Na 4.779 -3.379 5.853
Na 2.390 3.379 5.853
Na 3.584 2.534 1.463
Na 5.974 3.379 8.780
Na 5.974 5.914 4.390
Na -1.195 10.983 1.463
Na 8.363 -0.845 7.316
Na -1.195 3.379 2.927
Na -3.584 7.603 4.390
```

Summary:
As for the volume: 567.15 Å³/f.u. The uncorrected formation energy is -1.32 eV per atom. Its energy is -3.31 eV per atom. The symmetry is Ia-3d.